(1)
NiAgHg after structural relaxation, computed with PBEsol.

Cell and atoms, written as CIF:
```
data_NiAgHg
_chemical_formula_sum 'Ni2 Ag2 Hg2'
_symmetry_space_group_name_H-M 'I 4 m m'
_symmetry_Int_Tables_number 107
_symmetry_space_group_name_Hall 'I 4 -2'
_cell_length_a 2.9580
_cell_length_b 2.9580
_cell_length_c 10.7147
_cell_angle_alpha 90.00
_cell_angle_beta 90.00
_cell_angle_gamma 90.00
loop_
_atom_site_label
_atom_site_type_symbol
_atom_site_fract_x
_atom_site_fract_y
_atom_site_fract_z
_atom_site_occupancy
Ni1 Ni 0.0000 0.0000 0.0000 1
Ag1 Ag 0.0000 0.0000 0.6512 1
Hg1 Hg 0.0000 0.0000 0.3452 1
```

Crystal system: tetragonal
Formation enthalpy at 0 K (eV per formula unit): 0.46



(2)
GeP2Ir after structural relaxation, computed with PBEsol.

Cell and atoms, written as CIF:
```
data_GeP2Ir
_chemical_formula_sum 'Ge4 P8 Ir4'
_symmetry_space_group_name_H-M 'F m -3 m'
_symmetry_Int_Tables_number 225
_symmetry_space_group_name_Hall '-F 4 2 3'
_cell_length_a 6.1386
_cell_length_b 6.1386
_cell_length_c 6.1386
_cell_angle_alpha 90.00
_cell_angle_beta 90.00
_cell_angle_gamma 90.00
loop_
_atom_site_label
_atom_site_type_symbol
_atom_site_fract_x
_atom_site_fract_y
_atom_site_fract_z
_atom_site_occupancy
Ge1 Ge 0.0000 0.0000 0.0000 1
P1 P 0.2500 0.2500 0.2500 1
Ir1 Ir 0.0000 0.0000 0.5000 1
```

Crystal system: cubic
Formation enthalpy at 0 K (eV per formula unit): 1.07



no.,theoretical density (g cm⁻³),M_tot (μB/cell)
1,13.01,0.00
2,9.38,0.00